# 1
DFT (PBE) results for a relaxed structure of Tb8Tl2Ni.

Calculated values
As for the total energy: -49.4 eV for the cell shown. The value obtained for the total magnetization is 0.0 μB/f.u. The calculated formation energy comes out at -0.172 eV per atom. The crystal system is monoclinic.

Lattice parameters (Å, degrees): 9.613 9.613 6.784 99.97 99.97 30.54
Fractional positions:
Tb  0.014  0.014  0.274
Tb  0.208  0.208  0.812
Tb  0.358  0.358  0.512
Tb  0.410  0.410  0.035
Tb  0.590  0.590  0.965
Tb  0.642  0.642  0.488
Tb  0.792  0.792  0.188
Tb  0.986  0.986  0.726
Tl  0.187  0.187  0.260
Tl  0.813  0.813  0.740
Ni  0.500  0.500  0.500


# 2
DFT (PBE) results for a relaxed structure of SmGd2Te.

Calculated values
As for the total energy: -38.3 eV for the cell shown. The value obtained for the total magnetization is 14.6 μB/f.u. The calculation puts the energy above the lowest structure with this stoichiometry at 3.6 kJ per mole of atoms. The crystal system is trigonal. The calculation puts the uncorrected formation energy at -54.0 kJ per mole of atoms.

Lattice parameters (Å, degrees): 10.326 10.326 10.326 21.66 21.66 21.66
Fractional positions:
Sm  0.000  0.000  0.000
Gd  0.238  0.238  0.238
Gd  0.762  0.762  0.762
Te  0.500  0.500  0.500


# 3
DFT (PBE) results for a relaxed structure of Ta4TeP.

Calculated values
As for the total energy: -52.1 eV for the cell shown. The value obtained for the total magnetization is 0.0 μB/f.u. The crystal system is cubic. The calculation puts the uncorrected formation energy at 62.2 kJ per mole of atoms.

Lattice parameters (Å, degrees): 5.523 5.523 5.523 60.00 60.00 60.00
Fractional positions:
Ta  0.125  0.125  0.125
Ta  0.125  0.125  0.624
Ta  0.125  0.624  0.125
Ta  0.624  0.125  0.125
Te  0.750  0.750  0.750
P  0.500  0.500  0.500


# 4
DFT (PBE) results for a relaxed structure of BiPI.

Calculated values
As for the total energy: -20.6 eV for the cell shown. The value obtained for the total magnetization is 0.0 μB/f.u. The calculation puts the energy above the lowest structure with this stoichiometry at 32.9 kJ per mole of atoms. The crystal system is triclinic. The calculation puts the uncorrected formation energy at 17.7 kJ per mole of atoms.

Lattice parameters (Å, degrees): 6.101 6.397 7.859 106.54 95.39 118.47
Fractional positions:
Bi  0.000  0.000  0.000
Bi  0.383  0.854  0.639
P  0.446  0.006  0.992
P  0.825  0.848  0.648
I  0.061  0.271  0.560
I  0.281  0.583  0.080


# 5
DFT (PBE) results for a relaxed structure of La3RuS.

Calculated values
As for the total energy: -30.1 eV for the cell shown. The value obtained for the total magnetization is 0.0 μB/f.u. The calculation puts the energy above the lowest structure with this stoichiometry at 0.0 kJ per mole of atoms. The crystal system is cubic. The calculation puts the uncorrected formation energy at -36.4 kJ per mole of atoms.

Lattice parameters (Å, degrees): 5.440 5.440 5.440 90.00 90.00 90.00
Fractional positions:
La  0.000  0.000  0.500
La  0.000  0.500  0.000
La  0.500  0.000  0.000
Ru  0.000  0.000  0.000
S  0.500  0.500  0.500


# 6
DFT (PBE) results for a relaxed structure of CaYZr2.

Calculated values
As for the total energy: -24.1 eV for the cell shown. The value obtained for the total magnetization is 2.2 μB/f.u. The calculated formation energy comes out at 0.374 eV per atom. The calculation puts the energy above the lowest structure with this stoichiometry at 20.3 kJ per mole of atoms. The crystal system is orthorhombic.

Lattice parameters (Å, degrees): 6.443 6.443 6.443 145.59 131.81 60.55
Fractional positions:
Ca  0.000  0.000  0.000
Y  0.500  0.500  0.000
Zr  0.249  0.749  0.500
Zr  0.751  0.251  0.500